First-principles (PBE+U) data for LiFePO4 after structural relaxation, as listed in Alexandria via LeMat-Bulk.

Computed properties:
symmetry	R3
ΔE to the lowest computed polymorph	0.07	eV per formula unit
VASP energy	-286.57	eV per cell
size of the total moment	24.00	μB/cell

Structure (POSCAR):
```
LiFePO4
1.0
-4.310 -6.872 2.962
5.089 -2.676 -6.444
5.103 2.836 6.364
Fe Li O P
6 6 24 6
Cartesian
6.406 -4.039 0.383
-0.554 -2.630 2.490
2.567 -7.020 1.270
4.243 -4.026 4.825
3.284 0.345 1.588
1.598 -2.654 -1.956
7.695 -0.244 1.387
2.357 -1.746 3.760
0.462 -4.408 6.445
2.051 -6.998 -2.829
4.340 -1.882 -0.603
0.608 -4.711 0.424
2.367 -6.017 3.037
3.156 -0.291 -0.340
5.422 -3.192 3.382
3.917 -1.255 2.674
5.408 -2.383 0.971
2.274 -4.687 7.139
0.093 -3.116 -0.668
3.466 -5.723 -2.296
4.861 -5.230 -0.219
2.246 -8.416 -1.489
0.669 -1.066 2.929
0.554 -5.282 4.673
5.553 -1.610 -2.135
2.403 -3.689 4.060
3.564 1.466 4.764
2.717 -0.829 5.469
3.293 -3.446 -1.158
4.054 -1.940 -4.165
8.601 -1.873 0.782
0.646 -4.265 2.335
2.339 -5.513 -0.056
-2.633 -5.216 1.845
6.447 -0.943 2.754
-0.786 -6.104 0.334
5.464 -2.221 -3.561
-1.842 -6.488 1.408
3.755 0.289 5.770
3.502 -4.969 -0.935
1.487 -4.823 3.515
5.292 -1.943 2.459
```